Entry 1:
Crystalline TbBSe2 at its relaxed geometry, computed with PBE.

```
TbBSe2
1.0
-3.1140 -0.4267 -1.3757
-0.3110 -1.1426 -3.2201
-1.3008 -8.2390 1.2214
B Tb Se
1 1 2
direct
0.5000 0.5000 0.5000
0.0000 0.0000 0.0000
0.1154 0.1154 0.6538
0.8846 0.8846 0.3462
```

Values from the calculation:
- Symmetry: R-3m, No. 166
- Formation energy without anion corrections: 0.22 eV per atom
- Mass density: 6513 kg/m3

***

Entry 2:
Crystalline Hg3MoIr at its relaxed geometry, computed with PBE.

```
Hg3MoIr
1.0
-3.4908 1.0430 3.7264
2.9512 -2.5285 3.4723
2.5028 4.4361 1.1030
Mo Ir Hg
1 1 3
direct
0.5000 0.5000 0.5000
0.0000 0.0000 0.0000
0.0000 0.5000 0.0000
0.0000 0.0000 0.5000
0.5000 0.0000 0.0000
```

Values from the calculation:
- Symmetry: Pm-3m, No. 221
- E_form: 1199 meV per atom
- Distance to the lowest polymorph of the same formula: 0.0 meV/atom
- Mass density: 10440 kg/m3

***

Q: mass density of number 1 (TbBSe2)?
A: 6513 kg/m3

***

Q: The lowest mass density belongs to which entry?
A: TbBSe2